Below is Li2Zn2SnGeIr2 after structural relaxation, with properties calculated at the GGA-PBE level.

It has space group P-4m2 (No. 115), with a = 4.332 Å, b = 4.332 Å, c = 6.296 Å, α = 90.00°, β = 90.00° and γ = 90.00°. The asymmetric unit holds Li at (0.000, 0.500, 0.231), Zn at (0.000, 0.000, 0.000), Zn at (0.500, 0.500, 0.500), Sn at (0.000, 0.000, 0.500), Ge at (0.500, 0.500, 0.000) and Ir at (0.000, 0.500, 0.770).

The total DFT energy (no corrections) comes out at -4.442 eV per atom. For the total magnetic moment, the calculation gives 0.002 μB per atom.